# LiPr2As4Pt3 | Alexandria via LeMat-Bulk | PBE | relaxed
# N(E_F) = 3.25 states/eV/cell
# total energy = -5.7458 eV per atom
data_LiPr2As4Pt3
_space_group_name_H-M_alt 'P -4 m 2'
_space_group_IT_number 115
_space_group_name_Hall 'P -4 -2'
_cell_length_a 4.424
_cell_length_b 4.424
_cell_length_c 10.127
_cell_angle_alpha 90.00
_cell_angle_beta 90.00
_cell_angle_gamma 90.00
loop_
_atom_site_label
_atom_site_fract_x
_atom_site_fract_y
_atom_site_fract_z
_atom_site_occupancy
Li1 0.000 0.000 0.000 1
Pr1 0.000 0.500 0.748 1
As1 0.000 0.000 0.500 1
As2 0.000 0.500 0.132 1
As3 0.500 0.500 0.500 1
Pt1 0.000 0.500 0.379 1
Pt2 0.500 0.500 0.000 1

=====

# La3Ag2Au | Alexandria via LeMat-Bulk | PBE | relaxed
# N(E_F) = 10.73 states/eV/cell
# total energy = -4.3996 eV per atom
data_La3Ag2Au
_space_group_name_H-M_alt 'C m m m'
_space_group_IT_number 65
_space_group_name_Hall '-C 2 2'
_cell_length_a 5.403
_cell_length_b 16.235
_cell_length_c 3.778
_cell_angle_alpha 90.00
_cell_angle_beta 90.00
_cell_angle_gamma 90.00
loop_
_atom_site_label
_atom_site_fract_x
_atom_site_fract_y
_atom_site_fract_z
_atom_site_occupancy
La1 0.000 0.000 0.000 1
La2 0.000 0.339 0.000 1
Ag1 0.000 0.174 0.500 1
Au1 0.000 0.500 0.500 1

=====

# Li2NbRe | Alexandria via LeMat-Bulk | PBE | relaxed
# N(E_F) = 11.78 states/eV/cell
# total energy = -5.8901 eV per atom
# energy relative to the lowest polymorph listed for this composition = 143.6 meV per atom
data_Li2NbRe
_space_group_name_H-M_alt 'F m -3 m'
_space_group_IT_number 225
_space_group_name_Hall '-F 4 2 3'
_cell_length_a 6.020
_cell_length_b 6.020
_cell_length_c 6.020
_cell_angle_alpha 90.00
_cell_angle_beta 90.00
_cell_angle_gamma 90.00
loop_
_atom_site_label
_atom_site_fract_x
_atom_site_fract_y
_atom_site_fract_z
_atom_site_occupancy
Li1 0.250 0.250 0.250 1
Nb1 0.000 0.000 0.000 1
Re1 0.000 0.000 0.500 1

=====

# Ni2HgC | Alexandria via LeMat-Bulk | PBE | relaxed
# N(E_F) = 8.49 states/eV/cell
# total energy = -4.7012 eV per atom
# energy relative to the lowest polymorph listed for this composition = 0.0 meV per atom
data_Ni2HgC
_space_group_name_H-M_alt 'I -4 2 d'
_space_group_IT_number 122
_space_group_name_Hall 'I -4 2bw'
_cell_length_a 4.715
_cell_length_b 4.715
_cell_length_c 10.970
_cell_angle_alpha 90.00
_cell_angle_beta 90.00
_cell_angle_gamma 90.00
loop_
_atom_site_label
_atom_site_fract_x
_atom_site_fract_y
_atom_site_fract_z
_atom_site_occupancy
Ni1 0.047 0.250 0.125 1
Hg1 0.000 0.000 0.500 1
C1 0.000 0.000 0.000 1

=====

# V2InSiTe | Alexandria via LeMat-Bulk | PBE | relaxed
# N(E_F) = 9.98 states/eV/cell
# formation energy from raw total energies = 1.671 eV/atom
# total energy = -4.2372 eV per atom
data_V2InSiTe
_space_group_name_H-M_alt 'P 4/m m m'
_space_group_IT_number 123
_space_group_name_Hall '-P 4 2'
_cell_length_a 5.114
_cell_length_b 5.114
_cell_length_c 5.547
_cell_angle_alpha 90.00
_cell_angle_beta 90.00
_cell_angle_gamma 90.00
loop_
_atom_site_label
_atom_site_fract_x
_atom_site_fract_y
_atom_site_fract_z
_atom_site_occupancy
V1 0.000 0.500 0.000 1
In1 0.000 0.000 0.000 1
Si1 0.500 0.500 0.500 1
Te1 0.000 0.000 0.500 1

=====

# HgHAu3 | Alexandria via LeMat-Bulk | PBE | relaxed
# N(E_F) = 1.37 states/eV/cell
# total energy = -2.4347 eV per atom
# energy relative to the lowest polymorph listed for this composition = 0.0 meV per atom
data_HgHAu3
_space_group_name_H-M_alt 'P m -3 m'
_space_group_IT_number 221
_space_group_name_Hall '-P 4 2 3'
_cell_length_a 4.298
_cell_length_b 4.298
_cell_length_c 4.298
_cell_angle_alpha 90.00
_cell_angle_beta 90.00
_cell_angle_gamma 90.00
loop_
_atom_site_label
_atom_site_fract_x
_atom_site_fract_y
_atom_site_fract_z
_atom_site_occupancy
Hg1 0.000 0.000 0.000 1
H1 0.500 0.500 0.500 1
Au1 0.000 0.500 0.500 1

=====

# TmMg3 | Alexandria via LeMat-Bulk | PBE | relaxed
# N(E_F) = 7.56 states/eV/cell
# total energy = -2.3566 eV per atom
data_TmMg3
_space_group_name_H-M_alt 'P 63/m m c'
_space_group_IT_number 194
_space_group_name_Hall '-P 6c 2c'
_cell_length_a 6.6350
_cell_length_b 6.6350
_cell_length_c 5.1674
_cell_angle_alpha 90.00
_cell_angle_beta 90.00
_cell_angle_gamma 120.00
loop_
_atom_site_label
_atom_site_fract_x
_atom_site_fract_y
_atom_site_fract_z
_atom_site_occupancy
Tm1 0.3333 0.6667 0.2500 1
Mg1 0.1638 0.3276 0.7500 1

=====

# BeFeCu2 | Alexandria via LeMat-Bulk | PBE | relaxed
# N(E_F) = 5.48 states/eV/cell
# total energy = -4.9611 eV per atom
data_BeFeCu2
_space_group_name_H-M_alt 'C 1 2/m 1'
_space_group_IT_number 12
_space_group_name_Hall '-C 2y'
_cell_length_a 4.798
_cell_length_b 8.263
_cell_length_c 2.434
_cell_angle_alpha 90.00
_cell_angle_beta 114.08
_cell_angle_gamma 90.00
loop_
_atom_site_label
_atom_site_fract_x
_atom_site_fract_y
_atom_site_fract_z
_atom_site_occupancy
Be1 0.000 0.000 0.000 1
Fe1 0.000 0.500 0.000 1
Cu1 0.250 0.250 0.500 1

=====

# CoNiSCl2 | Alexandria via LeMat-Bulk | PBE | relaxed
# N(E_F) = 11.30 states/eV/cell
# formation energy from raw total energies = 0.433 eV/atom
# total energy = -3.7083 eV per atom
data_CoNiSCl2
_space_group_name_H-M_alt 'P 4/m m m'
_space_group_IT_number 123
_space_group_name_Hall '-P 4 2'
_cell_length_a 4.465
_cell_length_b 4.465
_cell_length_c 4.739
_cell_angle_alpha 90.00
_cell_angle_beta 90.00
_cell_angle_gamma 90.00
loop_
_atom_site_label
_atom_site_fract_x
_atom_site_fract_y
_atom_site_fract_z
_atom_site_occupancy
Co1 0.000 0.000 0.000 1
Ni1 0.500 0.500 0.500 1
S1 0.500 0.500 0.000 1
Cl1 0.000 0.500 0.500 1

=====

# Ce3MgTc | Alexandria via LeMat-Bulk | PBE | relaxed
# N(E_F) = 19.14 states/eV/cell
# total energy = -5.9594 eV per atom
# energy relative to the lowest polymorph listed for this composition = 0.0 meV per atom
data_Ce3MgTc
_space_group_name_H-M_alt 'P 1 21/m 1'
_space_group_IT_number 11
_space_group_name_Hall '-P 2yb'
_cell_length_a 6.953
_cell_length_b 5.381
_cell_length_c 7.028
_cell_angle_alpha 90.00
_cell_angle_beta 108.83
_cell_angle_gamma 90.00
loop_
_atom_site_label
_atom_site_fract_x
_atom_site_fract_y
_atom_site_fract_z
_atom_site_occupancy
Ce1 0.117 0.250 0.057 1
Ce2 0.173 0.750 0.348 1
Ce3 0.325 0.750 0.908 1
Mg1 0.324 0.250 0.636 1
Tc1 0.479 0.250 0.319 1

=====

# PrEu2Ho | Alexandria via LeMat-Bulk | PBE | relaxed
# N(E_F) = 18.74 states/eV/cell
# total energy = -7.3301 eV per atom
# energy relative to the lowest polymorph listed for this composition = 56.9 meV per atom
data_PrEu2Ho
_space_group_name_H-M_alt 'F m -3 m'
_space_group_IT_number 225
_space_group_name_Hall '-F 4 2 3'
_cell_length_a 8.368
_cell_length_b 8.368
_cell_length_c 8.368
_cell_angle_alpha 90.00
_cell_angle_beta 90.00
_cell_angle_gamma 90.00
loop_
_atom_site_label
_atom_site_fract_x
_atom_site_fract_y
_atom_site_fract_z
_atom_site_occupancy
Pr1 0.000 0.000 0.000 1
Eu1 0.250 0.250 0.250 1
Ho1 0.000 0.000 0.500 1

=====

# Sn4SbTe2I | Alexandria via LeMat-Bulk | PBE | relaxed
# formation energy from raw total energies = -0.181 eV/atom
# total energy = -3.6771 eV per atom
data_Sn4SbTe2I
_space_group_name_H-M_alt 'F m m 2'
_space_group_IT_number 42
_space_group_name_Hall 'F 2 -2'
_cell_length_a 9.048
_cell_length_b 12.967
_cell_length_c 9.254
_cell_angle_alpha 90.00
_cell_angle_beta 90.00
_cell_angle_gamma 90.00
loop_
_atom_site_label
_atom_site_fract_x
_atom_site_fract_y
_atom_site_fract_z
_atom_site_occupancy
Sn1 0.000 0.230 0.000 1
Sn2 0.234 0.000 0.748 1
Sb1 0.000 0.000 0.980 1
Te1 0.250 0.250 0.227 1
I1 0.000 0.000 0.476 1

=====

# ScWCl2 | Alexandria via LeMat-Bulk | PBE | relaxed
# N(E_F) = 3.77 states/eV/cell
# formation energy from raw total energies = 0.012 eV/atom
# total energy = -5.7323 eV per atom
# energy relative to the lowest polymorph listed for this composition = 480.5 meV per atom
data_ScWCl2
_space_group_name_H-M_alt 'P 4/m m m'
_space_group_IT_number 123
_space_group_name_Hall '-P 4 2'
_cell_length_a 2.958
_cell_length_b 2.958
_cell_length_c 10.956
_cell_angle_alpha 90.00
_cell_angle_beta 90.00
_cell_angle_gamma 90.00
loop_
_atom_site_label
_atom_site_fract_x
_atom_site_fract_y
_atom_site_fract_z
_atom_site_occupancy
Sc1 0.000 0.000 0.000 1
W1 0.000 0.000 0.500 1
Cl1 0.500 0.500 0.144 1